# 1
# YCrSb3 | Alexandria | PBE | optimized geometry
data_YCrSb3
_chemical_formula_sum 'Y1 Cr1 Sb3'
_space_group_name_H-M_alt 'P m -3 m'
_space_group_IT_number 221
_space_group_name_Hall '-P 4 2 3'
_cell_length_a 5.155
_cell_length_b 5.155
_cell_length_c 5.155
_cell_angle_alpha 90.00
_cell_angle_beta 90.00
_cell_angle_gamma 90.00
loop_
_atom_site_label
_atom_site_fract_x
_atom_site_fract_y
_atom_site_fract_z
Y1 0.000 0.000 0.000
Cr1 0.500 0.500 0.500
Sb1 0.000 0.500 0.500
# * total moment: 0.592 μB/atom
# * theoretical density: 6137 kg/m3
# * raw formation energy: 0.12 eV per atom

=====

# 2
# YCrSb2 | Alexandria | PBE | optimized geometry
data_YCrSb2
_chemical_formula_sum 'Y2 Cr2 Sb4'
_space_group_name_H-M_alt 'C m m m'
_space_group_IT_number 65
_space_group_name_Hall '-C 2 2'
_cell_length_a 4.387
_cell_length_b 5.836
_cell_length_c 7.626
_cell_angle_alpha 90.00
_cell_angle_beta 90.00
_cell_angle_gamma 90.00
loop_
_atom_site_label
_atom_site_fract_x
_atom_site_fract_y
_atom_site_fract_z
Y1 0.000 0.000 0.000
Cr1 0.000 0.000 0.500
Sb1 0.000 0.500 0.278
# * total moment: 0.883 μB/atom
# * theoretical density: 6539 kg/m3
# * raw formation energy: -0.23 eV per atom

=====

# 3
# YCrSb2 | Alexandria | PBE | optimized geometry
data_YCrSb2
_chemical_formula_sum 'Y2 Cr2 Sb4'
_space_group_name_H-M_alt 'I m m m'
_space_group_IT_number 71
_space_group_name_Hall '-I 2 2'
_cell_length_a 4.308
_cell_length_b 5.933
_cell_length_c 7.741
_cell_angle_alpha 90.00
_cell_angle_beta 90.00
_cell_angle_gamma 90.00
loop_
_atom_site_label
_atom_site_fract_x
_atom_site_fract_y
_atom_site_fract_z
Y1 0.000 0.000 0.000
Cr1 0.000 0.000 0.500
Sb1 0.000 0.500 0.219
# * total moment: 0.794 μB/atom
# * theoretical density: 6452 kg/m3
# * raw formation energy: -0.26 eV per atom

=====

Copy entry 1 word for word.
# YCrSb3 | Alexandria | PBE | optimized geometry
data_YCrSb3
_chemical_formula_sum 'Y1 Cr1 Sb3'
_space_group_name_H-M_alt 'P m -3 m'
_space_group_IT_number 221
_space_group_name_Hall '-P 4 2 3'
_cell_length_a 5.155
_cell_length_b 5.155
_cell_length_c 5.155
_cell_angle_alpha 90.00
_cell_angle_beta 90.00
_cell_angle_gamma 90.00
loop_
_atom_site_label
_atom_site_fract_x
_atom_site_fract_y
_atom_site_fract_z
Y1 0.000 0.000 0.000
Cr1 0.500 0.500 0.500
Sb1 0.000 0.500 0.500
# * total moment: 0.592 μB/atom
# * theoretical density: 6137 kg/m3
# * raw formation energy: 0.12 eV per atom